# NaLaTb4S8 (PBE, relaxed)
data_NaLaTb4S8
_chemical_formula_sum 'Na3 La3 Tb12 S24'
_symmetry_space_group_name_H-M 'R 3 m'
_symmetry_Int_Tables_number 160
_symmetry_space_group_name_Hall 'R 3 -2"'
_cell_length_a 8.1429
_cell_length_b 8.1429
_cell_length_c 20.4700
_cell_angle_alpha 90.00
_cell_angle_beta 90.00
_cell_angle_gamma 120.00
loop_
_atom_site_label
_atom_site_fract_x
_atom_site_fract_y
_atom_site_fract_z
_atom_site_occupancy
Na1 0.0000 0.0000 0.0000 1
La1 0.0000 0.0000 0.6300 1
Tb1 0.0000 0.0000 0.2527 1
Tb2 0.1725 0.3450 0.4586 1
S1 0.0000 0.0000 0.3845 1
S2 0.0000 0.0000 0.8649 1
S3 0.0253 0.5126 0.3842 1
S4 0.1738 0.3477 0.2042 1
# Formation energy (no corrections) = -1962 meV/atom
# Spin magnetization = 0.0 μB per cell

***

# NaLaTeS (PBE, relaxed)
data_NaLaTeS
_chemical_formula_sum 'Na6 La6 Te6 S6'
_symmetry_space_group_name_H-M 'R -3 m'
_symmetry_Int_Tables_number 166
_symmetry_space_group_name_Hall '-R 3 2"'
_cell_length_a 4.8539
_cell_length_b 4.8539
_cell_length_c 36.0596
_cell_angle_alpha 90.00
_cell_angle_beta 90.00
_cell_angle_gamma 120.00
loop_
_atom_site_label
_atom_site_fract_x
_atom_site_fract_y
_atom_site_fract_z
_atom_site_occupancy
Na1 0.0000 0.0000 0.1957 1
La1 0.0000 0.0000 0.3824 1
Te1 0.0000 0.0000 0.1058 1
S1 0.0000 0.0000 0.3031 1
# Formation energy (no corrections) = -1614 meV/atom
# Spin magnetization = 0.0 μB per cell

***

# Na2LaTeS4 (PBE, relaxed)
data_Na2LaTeS4
_chemical_formula_sum 'Na8 La4 Te4 S16'
_symmetry_space_group_name_H-M 'C 1 2/c 1'
_symmetry_Int_Tables_number 15
_cell_length_a 11.618
_cell_length_b 11.375
_cell_length_c 8.297
_cell_angle_alpha 90.00
_cell_angle_beta 132.05
_cell_angle_gamma 90.00
loop_
_symmetry_equiv_pos_as_xyz
'x,y,z'
'-x,-y,-z'
'-x,y,-z+1/2'
'x,-y,z+1/2'
'x+1/2,y+1/2,z'
'-x+1/2,-y+1/2,-z'
'-x+1/2,y+1/2,-z+1/2'
'x+1/2,-y+1/2,z+1/2'
loop_
_atom_site_label
_atom_site_fract_x
_atom_site_fract_y
_atom_site_fract_z
_atom_site_occupancy
Na1 0.000 0.000 0.000 1
Na2 0.250 0.250 0.000 1
La1 0.000 0.500 0.000 1
Te1 0.250 0.250 0.500 1
S1 0.038 0.250 0.529 1
S2 0.236 0.488 0.476 1
# Formation energy (no corrections) = -1088 meV/atom
# Spin magnetization = 0.0 μB per cell

***

# Na2LaThS4 (PBE, relaxed)
data_Na2LaThS4
_chemical_formula_sum 'Na2 La1 Th1 S4'
_symmetry_space_group_name_H-M 'P 1 2/m 1'
_symmetry_Int_Tables_number 10
_cell_length_a 7.153
_cell_length_b 4.117
_cell_length_c 7.164
_cell_angle_alpha 90.00
_cell_angle_beta 109.36
_cell_angle_gamma 90.00
loop_
_symmetry_equiv_pos_as_xyz
'x,y,z'
'-x,-y,-z'
'-x,y,-z'
'x,-y,z'
loop_
_atom_site_label
_atom_site_fract_x
_atom_site_fract_y
_atom_site_fract_z
_atom_site_occupancy
Na1 0.000 0.000 0.000 1
Na2 0.000 0.500 0.500 1
La1 0.500 0.000 0.500 1
Th1 0.500 0.500 0.000 1
S1 0.261 0.500 0.244 1
S2 0.262 0.000 0.762 1
# Formation energy (no corrections) = -1731 meV/atom
# Spin magnetization = 0.0 μB per cell

***

# Na3La2ThS6 (PBE, relaxed)
data_Na3La2ThS6
_chemical_formula_sum 'Na6 La4 Th2 S12'
_symmetry_space_group_name_H-M 'C 1 2/m 1'
_symmetry_Int_Tables_number 12
_cell_length_a 17.987
_cell_length_b 4.152
_cell_length_c 8.272
_cell_angle_alpha 90.00
_cell_angle_beta 102.41
_cell_angle_gamma 90.00
loop_
_symmetry_equiv_pos_as_xyz
'x,y,z'
'-x,-y,-z'
'-x,y,-z'
'x,-y,z'
'x+1/2,y+1/2,z'
'-x+1/2,-y+1/2,-z'
'-x+1/2,y+1/2,-z'
'x+1/2,-y+1/2,z'
loop_
_atom_site_label
_atom_site_fract_x
_atom_site_fract_y
_atom_site_fract_z
_atom_site_occupancy
Na1 0.000 0.000 0.000 1
Na2 0.168 0.500 0.332 1
La1 0.167 0.500 0.835 1
Th1 0.000 0.000 0.500 1
S1 0.001 0.500 0.736 1
S2 0.160 0.000 0.583 1
S3 0.168 0.000 0.078 1
# Formation energy (no corrections) = -1771 meV/atom
# Spin magnetization = 0.0 μB per cell

***

# Na3La2TiS6 (PBE, relaxed)
data_Na3La2TiS6
_chemical_formula_sum 'Na6 La4 Ti2 S12'
_symmetry_space_group_name_H-M 'C 1 2/m 1'
_symmetry_Int_Tables_number 12
_cell_length_a 7.006
_cell_length_b 12.067
_cell_length_c 7.067
_cell_angle_alpha 90.00
_cell_angle_beta 109.16
_cell_angle_gamma 90.00
loop_
_symmetry_equiv_pos_as_xyz
'x,y,z'
'-x,-y,-z'
'-x,y,-z'
'x,-y,z'
'x+1/2,y+1/2,z'
'-x+1/2,-y+1/2,-z'
'-x+1/2,y+1/2,-z'
'x+1/2,-y+1/2,z'
loop_
_atom_site_label
_atom_site_fract_x
_atom_site_fract_y
_atom_site_fract_z
_atom_site_occupancy
Na1 0.000 0.000 0.000 1
Na2 0.000 0.336 0.000 1
La1 0.000 0.169 0.500 1
Ti1 0.000 0.500 0.500 1
S1 0.225 0.500 0.283 1
S2 0.230 0.349 0.729 1
# Formation energy (no corrections) = -1622 meV/atom
# Spin magnetization = 2.0 μB per cell